# Th4AgPt | Alexandria via LeMat-Bulk | PBE-GGA | optimized geometry
data_Th4AgPt
_chemical_formula_sum 'Th8 Ag2 Pt2'
_cell_length_a 5.888
_cell_length_b 7.485
_cell_length_c 7.485
_cell_angle_alpha 90.00
_cell_angle_beta 90.00
_cell_angle_gamma 90.00
_symmetry_space_group_name_H-M 'P 1'
_symmetry_Int_Tables_number 1
loop_
_symmetry_equiv_pos_as_xyz
'x,y,z'
loop_
_atom_site_label
_atom_site_fract_x
_atom_site_fract_y
_atom_site_fract_z
Th1 0.000 0.166 0.652
Th2 0.000 0.834 0.348
Th3 0.000 0.348 0.166
Th4 0.000 0.652 0.834
Th5 0.500 0.834 0.652
Th6 0.500 0.166 0.348
Th7 0.500 0.652 0.166
Th8 0.500 0.348 0.834
Ag1 0.250 0.000 0.000
Ag2 0.750 0.000 0.000
Pt1 0.250 0.500 0.500
Pt2 0.750 0.500 0.500
# **Formation energy from the elements**: -9.57 kcal/mol of atoms
# **Magnetic moment**: 0.0 μB/f.u.
# **Space group**: P4/mcc